(1)
First-principles (GGA-PBE) data for crystalline Ac3Be2AlPd9 at its relaxed geometry, as listed in Alexandria via LeMat-Bulk.

Cell: 6.0603 6.0603 9.2718 Å, 90.00 90.00 120.00°
Fractional coordinates of all 15 atoms:
1 Ac 0.0000 0.0000 0.0000
2 Ac 0.3333 0.6667 0.6588
3 Ac 0.6667 0.3333 0.3412
4 Be 0.3333 0.6667 0.1525
5 Be 0.6667 0.3333 0.8475
6 Al 0.0000 0.0000 0.5000
7 Pd 0.0000 0.5000 0.0000
8 Pd 0.1647 0.3293 0.3004
9 Pd 0.1647 0.8353 0.3004
10 Pd 0.3293 0.1647 0.6996
11 Pd 0.5000 0.0000 0.0000
12 Pd 0.5000 0.5000 0.0000
13 Pd 0.6707 0.8353 0.3004
14 Pd 0.8353 0.1647 0.6996
15 Pd 0.8353 0.6707 0.6996

Computed properties:
As for the volume: 19.660 Å³/atom. The value obtained for the spin magnetization is 0.000 μB per atom. As for the crystal system: trigonal. As for the calculated total energy: -5.39 eV/atom. Its space group is No. 164. For the density, the calculation gives 9.48 g cm⁻³.



(2)
First-principles (GGA-PBE) data for crystalline Sm2MnGe4Ir3 at its relaxed geometry, as listed in Alexandria via LeMat-Bulk.

Cell: 4.2091 4.2091 10.4064 Å, 90.00 90.00 90.00°
Fractional coordinates of all 10 atoms:
1 Sm 0.0000 0.5000 0.2461
2 Sm 0.5000 0.0000 0.7539
3 Mn 0.0000 0.0000 0.5000
4 Ge 0.0000 0.0000 0.0000
5 Ge 0.0000 0.5000 0.6353
6 Ge 0.5000 0.0000 0.3647
7 Ge 0.5000 0.5000 0.0000
8 Ir 0.0000 0.5000 0.8721
9 Ir 0.5000 0.0000 0.1279
10 Ir 0.5000 0.5000 0.5000

Computed properties:
As for the volume: 18.436 Å³/atom. The value obtained for the spin magnetization is 0.288 μB per atom. As for the crystal system: tetragonal. As for the calculated total energy: -7.04 eV/atom. Its space group is No. 115. For the density, the calculation gives 11.01 g cm⁻³.



(3)
First-principles (GGA-PBE) data for crystalline Ac2NdNi2 at its relaxed geometry, as listed in Alexandria via LeMat-Bulk.

Cell: 7.0285 7.0285 11.7757 Å, 117.73 117.73 33.26°
Fractional coordinates of all 10 atoms:
1 Ac 0.0365 0.0365 0.1876
2 Ac 0.1574 0.1574 0.5678
3 Ac 0.8426 0.8426 0.4322
4 Ac 0.9635 0.9635 0.8124
5 Nd 0.2867 0.2867 0.1364
6 Nd 0.7133 0.7133 0.8636
7 Ni 0.3873 0.3873 0.9562
8 Ni 0.4960 0.4960 0.3830
9 Ni 0.5040 0.5040 0.6170
10 Ni 0.6127 0.6127 0.0438

Computed properties:
As for the volume: 27.888 Å³/atom. The value obtained for the spin magnetization is 0.000 μB per atom. As for the energy relative to the lowest polymorph listed for this composition: 0 meV per atom. As for the crystal system: monoclinic. As for the calculated total energy: -5.12 eV/atom. Its space group is No. 12. For the density, the calculation gives 8.52 g cm⁻³.